(1)
Computed, not measured: a relaxed Y3Hg2Pd3 crystal at the PBE-GGA level of DFT. Values from VASP.

Energy of formation: -0.65 eV/atom

Structure (Quantum ESPRESSO input):
```
&SYSTEM
  ibrav = 0, nat = 16, ntyp = 3
/
ATOMIC_SPECIES
Y 88.91 Y.upf
Hg 200.59 Hg.upf
Pd 106.42 Pd.upf
ATOMIC_POSITIONS angstrom
Y -1.191 2.062 1.459
Y -3.060 5.300 4.376
Y 2.381 0.000 1.459
Y 1.191 2.062 4.376
Y 6.120 0.000 4.376
Y 3.060 5.300 1.459
Hg 0.000 4.908 0.000
Hg 0.000 4.908 2.917
Hg 4.251 2.454 0.000
Hg 4.251 2.454 2.917
Pd -1.602 2.774 4.376
Pd -2.649 4.588 1.459
Pd 3.203 0.000 4.376
Pd 1.602 2.774 1.459
Pd 5.298 0.000 1.459
Pd 2.649 4.588 4.376
CELL_PARAMETERS angstrom
8.501 0.000 0.000
-4.251 7.362 0.000
0.000 0.000 5.835
```

=====

(2)
Computed, not measured: a relaxed YHg2Pd8 crystal at the PBE-GGA level of DFT. Values from VASP.

Energy of formation: -0.27 eV/atom

Structure (Quantum ESPRESSO input):
```
&SYSTEM
  ibrav = 0, nat = 11, ntyp = 3
/
ATOMIC_SPECIES
Y 88.91 Y.upf
Hg 200.59 Hg.upf
Pd 106.42 Pd.upf
ATOMIC_POSITIONS angstrom
Y 0.000 0.000 0.000
Hg 2.104 2.623 1.868
Hg 2.104 -2.623 1.868
Pd -0.625 1.905 2.743
Pd 3.746 4.324 0.000
Pd -0.625 -1.905 2.743
Pd 2.877 0.000 0.908
Pd 1.330 0.000 2.828
Pd 4.832 1.905 0.993
Pd 3.746 -4.324 0.000
Pd 4.832 -1.905 0.993
CELL_PARAMETERS angstrom
3.746 -7.092 0.000
3.746 7.092 0.000
-3.285 0.000 3.736
```

=====

(3)
Computed, not measured: a relaxed YHg2Pd5 crystal at the PBE-GGA level of DFT. Values from VASP.

Energy of formation: -0.48 eV/atom

Structure (Quantum ESPRESSO input):
```
&SYSTEM
  ibrav = 0, nat = 16, ntyp = 3
/
ATOMIC_SPECIES
Y 88.91 Y.upf
Hg 200.59 Hg.upf
Pd 106.42 Pd.upf
ATOMIC_POSITIONS angstrom
Y 0.000 0.000 0.000
Y 3.004 3.003 0.000
Hg 0.017 3.003 3.950
Hg 0.014 0.000 4.025
Hg 3.021 0.000 3.950
Hg 3.017 3.003 4.025
Pd 0.000 3.003 0.000
Pd -1.477 1.503 5.968
Pd -1.477 4.503 5.968
Pd 1.507 1.500 2.007
Pd 1.507 4.506 2.007
Pd 3.004 0.000 0.000
Pd 1.527 1.500 5.968
Pd 1.527 4.506 5.968
Pd 4.511 1.503 2.007
Pd 4.511 4.503 2.007
CELL_PARAMETERS angstrom
6.007 0.000 0.000
0.000 6.006 0.000
-2.973 0.000 7.975
```

=====

(4)
Computed, not measured: a relaxed Y2HgPd9 crystal at the PBE-GGA level of DFT. Values from VASP.

Energy of formation: -0.60 eV/atom

Structure (Quantum ESPRESSO input):
```
&SYSTEM
  ibrav = 0, nat = 12, ntyp = 3
/
ATOMIC_SPECIES
Y 88.91 Y.upf
Hg 200.59 Hg.upf
Pd 106.42 Pd.upf
ATOMIC_POSITIONS angstrom
Y 0.000 0.000 2.113
Y 0.000 0.000 10.298
Hg 0.000 0.000 6.205
Pd 0.000 2.048 0.000
Pd 0.000 2.048 4.165
Pd 0.000 2.048 8.246
Pd 2.048 0.000 0.000
Pd 2.048 0.000 4.165
Pd 2.048 0.000 8.246
Pd 2.048 2.048 2.064
Pd 2.048 2.048 6.205
Pd 2.048 2.048 10.346
CELL_PARAMETERS angstrom
4.096 0.000 0.000
0.000 4.096 0.000
0.000 0.000 12.411
```

=====

(5)
Computed, not measured: a relaxed Y4HgPd crystal at the PBE-GGA level of DFT. Values from VASP.

Energy of formation: -0.51 eV/atom

Structure (Quantum ESPRESSO input):
```
&SYSTEM
  ibrav = 0, nat = 24, ntyp = 3
/
ATOMIC_SPECIES
Y 88.91 Y.upf
Hg 200.59 Hg.upf
Pd 106.42 Pd.upf
ATOMIC_POSITIONS angstrom
Y 3.425 3.425 0.839
Y 3.425 0.839 3.425
Y 6.010 3.425 3.425
Y 8.326 5.372 5.372
Y 6.849 6.849 2.540
Y 6.849 2.540 6.849
Y 11.158 6.849 6.849
Y 0.839 3.425 3.425
Y 3.425 6.010 3.425
Y 3.425 3.425 6.010
Y 5.372 8.326 5.372
Y 5.372 5.372 8.326
Y 8.326 8.326 8.326
Y 2.540 6.849 6.849
Y 6.849 11.158 6.849
Y 6.849 6.849 11.158
Hg 11.467 9.080 9.080
Hg 9.080 11.467 9.080
Hg 9.080 9.080 11.467
Hg 11.467 11.467 11.467
Pd 5.425 5.425 5.425
Pd 8.274 8.274 5.425
Pd 8.274 5.425 8.274
Pd 5.425 8.274 8.274
CELL_PARAMETERS angstrom
0.000 6.849 6.849
6.849 0.000 6.849
6.849 6.849 0.000
```

=====

(6)
Computed, not measured: a relaxed Y2HgPd crystal at the PBE-GGA level of DFT. Values from VASP.

Energy of formation: -0.12 eV/atom

Structure (Quantum ESPRESSO input):
```
&SYSTEM
  ibrav = 0, nat = 8, ntyp = 3
/
ATOMIC_SPECIES
Y 88.91 Y.upf
Hg 200.59 Hg.upf
Pd 106.42 Pd.upf
ATOMIC_POSITIONS angstrom
Y 0.000 0.000 2.677
Y 0.000 0.000 12.793
Y 1.909 1.909 5.058
Y 1.909 1.909 10.412
Hg 0.000 0.000 7.735
Hg 1.909 1.909 0.000
Pd 0.000 0.000 0.000
Pd 1.909 1.909 7.735
CELL_PARAMETERS angstrom
3.819 0.000 0.000
0.000 3.819 0.000
0.000 0.000 15.470
```

=====

The evaluated M_tot for the records listed, in turn: 0.0, 0.0, 0.0, 0.0, 0.0, 0.0 μB/cell.
The evaluated V for the records listed, in turn: 22.82, 18.05, 17.98, 17.36, 26.77, 28.20 Å³ per atom.